1.
# Si2GeF, optimized geometry, DFT PBE
data_Si2GeF
_cell_length_a 4.271
_cell_length_b 4.271
_cell_length_c 7.924
_cell_angle_alpha 74.37
_cell_angle_beta 74.37
_cell_angle_gamma 90.00
_space_group_name_H-M_alt 'P 1'
_space_group_IT_number 1
loop_
_space_group_symop_operation_xyz
'x,y,z'
loop_
_atom_site_label
_atom_site_fract_x
_atom_site_fract_y
_atom_site_fract_z
Ge1 0.000 0.000 0.000
Ge2 0.750 0.250 0.500
Si1 0.545 0.125 0.250
Si2 0.205 0.625 0.250
Si3 0.375 0.455 0.750
Si4 0.875 0.795 0.750
F1 0.500 0.500 0.000
F2 0.250 0.750 0.500
# * energy relative to the elements, uncorrected: -0.15 eV per atom
# * DOS at the Fermi energy: 0.4371 states/eV per atom

=====

2.
# Hf8AlGa6, optimized geometry, DFT PBE
data_Hf8AlGa6
_cell_length_a 8.115
_cell_length_b 8.115
_cell_length_c 7.100
_cell_angle_alpha 55.15
_cell_angle_beta 55.15
_cell_angle_gamma 60.00
_space_group_name_H-M_alt 'P 1'
_space_group_IT_number 1
loop_
_space_group_symop_operation_xyz
'x,y,z'
loop_
_atom_site_label
_atom_site_fract_x
_atom_site_fract_y
_atom_site_fract_z
Hf1 0.636 0.145 0.337
Hf2 0.855 0.118 0.663
Hf3 0.118 0.364 0.663
Hf4 0.737 0.737 0.790
Hf5 0.263 0.263 0.210
Hf6 0.882 0.636 0.337
Hf7 0.145 0.882 0.337
Hf8 0.364 0.855 0.663
Al1 0.000 0.000 0.000
Ga1 0.427 0.103 0.829
Ga2 0.897 0.359 0.171
Ga3 0.359 0.573 0.171
Ga4 0.641 0.427 0.829
Ga5 0.103 0.641 0.829
Ga6 0.573 0.897 0.171
# * DOS at the Fermi energy: 0.4637 states/eV per atom
# * E_form: -375 kJ/mol of formula units

=====

3.
# YZr3Pt2, optimized geometry, DFT PBE
data_YZr3Pt2
_cell_length_a 4.767
_cell_length_b 8.627
_cell_length_c 8.006
_cell_angle_alpha 118.95
_cell_angle_beta 90.00
_cell_angle_gamma 106.04
_space_group_name_H-M_alt 'P 1'
_space_group_IT_number 1
loop_
_space_group_symop_operation_xyz
'x,y,z'
loop_
_atom_site_label
_atom_site_fract_x
_atom_site_fract_y
_atom_site_fract_z
Y1 0.848 0.696 0.931
Y2 0.152 0.304 0.069
Zr1 0.301 0.601 0.580
Zr2 0.948 0.896 0.621
Zr3 0.600 0.201 0.692
Zr4 0.400 0.799 0.308
Zr5 0.052 0.104 0.379
Zr6 0.699 0.399 0.420
Pt1 0.484 0.967 0.826
Pt2 0.516 0.033 0.174
Pt3 0.805 0.610 0.252
Pt4 0.195 0.390 0.748
# * DOS at the Fermi energy: 0.7526 states/eV per atom
# * E_form: -402 kJ/mol of formula units

=====

4.
# Be3NbO, optimized geometry, DFT PBE
data_Be3NbO
_cell_length_a 4.599
_cell_length_b 4.599
_cell_length_c 4.599
_cell_angle_alpha 90.00
_cell_angle_beta 90.00
_cell_angle_gamma 90.00
_space_group_name_H-M_alt 'P 1'
_space_group_IT_number 1
loop_
_space_group_symop_operation_xyz
'x,y,z'
loop_
_atom_site_label
_atom_site_fract_x
_atom_site_fract_y
_atom_site_fract_z
Be1 0.000 0.500 0.000
Be2 0.000 0.000 0.500
Be3 0.500 0.000 0.000
Nb1 0.000 0.000 0.000
O1 0.500 0.500 0.500
# * energy relative to the elements, uncorrected: 2.17 eV per atom
# * DOS at the Fermi energy: 1.3141 states/eV per atom

=====

5.
# Er6Tm16Sc7, optimized geometry, DFT PBE
data_Er6Tm16Sc7
_cell_length_a 10.729
_cell_length_b 10.729
_cell_length_c 10.729
_cell_angle_alpha 60.00
_cell_angle_beta 60.00
_cell_angle_gamma 60.00
_space_group_name_H-M_alt 'P 1'
_space_group_IT_number 1
loop_
_space_group_symop_operation_xyz
'x,y,z'
loop_
_atom_site_label
_atom_site_fract_x
_atom_site_fract_y
_atom_site_fract_z
Er1 0.287 0.713 0.287
Er2 0.713 0.287 0.713
Er3 0.713 0.287 0.287
Er4 0.287 0.713 0.713
Er5 0.713 0.713 0.287
Er6 0.287 0.287 0.713
Tm1 0.881 0.881 0.357
Tm2 0.881 0.881 0.881
Tm3 0.881 0.357 0.881
Tm4 0.357 0.881 0.881
Tm5 0.119 0.119 0.119
Tm6 0.119 0.119 0.643
Tm7 0.119 0.643 0.119
Tm8 0.643 0.119 0.119
Tm9 0.655 0.655 0.035
Tm10 0.655 0.655 0.655
Tm11 0.655 0.035 0.655
Tm12 0.035 0.655 0.655
Tm13 0.345 0.345 0.345
Tm14 0.345 0.345 0.965
Tm15 0.345 0.965 0.345
Tm16 0.965 0.345 0.345
Sc1 0.000 0.000 0.000
Sc2 0.500 0.000 0.500
Sc3 0.000 0.500 0.000
Sc4 0.000 0.500 0.500
Sc5 0.500 0.000 0.000
Sc6 0.000 0.000 0.500
Sc7 0.500 0.500 0.000
# * DOS at the Fermi energy: 1.7916 states/eV per atom
# * E_form: 601 kJ/mol of formula units

=====

6.
# Pm4Er9In11, optimized geometry, DFT PBE
data_Pm4Er9In11
_cell_length_a 3.467
_cell_length_b 14.168
_cell_length_c 14.168
_cell_angle_alpha 111.24
_cell_angle_beta 90.00
_cell_angle_gamma 90.00
_space_group_name_H-M_alt 'P 1'
_space_group_IT_number 1
loop_
_space_group_symop_operation_xyz
'x,y,z'
loop_
_atom_site_label
_atom_site_fract_x
_atom_site_fract_y
_atom_site_fract_z
Pm1 0.500 0.594 0.757
Pm2 0.500 0.406 0.243
Pm3 0.500 0.757 0.594
Pm4 0.500 0.243 0.406
Er1 0.500 0.611 0.167
Er2 0.500 0.389 0.833
Er3 0.500 0.167 0.611
Er4 0.500 0.833 0.389
Er5 0.500 0.797 0.992
Er6 0.500 0.203 0.008
Er7 0.500 0.992 0.797
Er8 0.500 0.008 0.203
Er9 0.500 0.500 0.500
In1 0.000 0.591 0.961
In2 0.000 0.409 0.039
In3 0.000 0.961 0.591
In4 0.000 0.039 0.409
In5 0.000 0.621 0.379
In6 0.000 0.379 0.621
In7 0.000 0.810 0.190
In8 0.000 0.190 0.810
In9 0.000 0.000 0.000
In10 0.000 0.803 0.803
In11 0.000 0.197 0.197
# * DOS at the Fermi energy: 0.7974 states/eV per atom
# * E_form: -898 kJ/mol of formula units

=====

> Which value of DOS at the Fermi energy does entry 5 give?

1.7916 states/eV per atom

=====

> What is the formula in the fifth record?

Er6Tm16Sc7

=====

What did the third record say?
# YZr3Pt2, optimized geometry, DFT PBE
data_YZr3Pt2
_cell_length_a 4.767
_cell_length_b 8.627
_cell_length_c 8.006
_cell_angle_alpha 118.95
_cell_angle_beta 90.00
_cell_angle_gamma 106.04
_space_group_name_H-M_alt 'P 1'
_space_group_IT_number 1
loop_
_space_group_symop_operation_xyz
'x,y,z'
loop_
_atom_site_label
_atom_site_fract_x
_atom_site_fract_y
_atom_site_fract_z
Y1 0.848 0.696 0.931
Y2 0.152 0.304 0.069
Zr1 0.301 0.601 0.580
Zr2 0.948 0.896 0.621
Zr3 0.600 0.201 0.692
Zr4 0.400 0.799 0.308
Zr5 0.052 0.104 0.379
Zr6 0.699 0.399 0.420
Pt1 0.484 0.967 0.826
Pt2 0.516 0.033 0.174
Pt3 0.805 0.610 0.252
Pt4 0.195 0.390 0.748
# * DOS at the Fermi energy: 0.7526 states/eV per atom
# * E_form: -402 kJ/mol of formula units

=====

> The highest DOS at the Fermi energy belongs to which entry?

Er6Tm16Sc7